Compound: CeThCd4
Source: the Alexandria database
Functional: PBE
Structure: relaxed

Cell: 9.483 9.483 5.126 Å, 90.00 90.00 138.98°
Atoms (fractional coordinates):
Ce (0.126, 0.874, 0.750)
Ce (0.874, 0.126, 0.250)
Th (0.376, 0.624, 0.250)
Th (0.624, 0.376, 0.750)
Cd (0.040, 0.457, 0.750)
Cd (0.202, 0.286, 0.750)
Cd (0.286, 0.202, 0.250)
Cd (0.457, 0.040, 0.250)
Cd (0.543, 0.960, 0.750)
Cd (0.714, 0.798, 0.750)
Cd (0.798, 0.714, 0.250)
Cd (0.960, 0.543, 0.250)

The calculation puts the density of states at the Fermi level at 8.27 states/eV/f.u. The formation energy is -211 meV per atom. The polymorph energy (0 for the lowest one) comes out at 0.000 eV/atom.